## Nd2TiMnO6 (GGA+U)

Data for a relaxed structure of Nd2TiMnO6.

a b c (Å): 5.389 5.389 4.641
angles (deg): 90.00 90.00 90.00
Space group P4mm (No. 99)
Unique sites:
Nd 0.000 0.500 0.000 x2
Ti 0.000 0.000 0.570 x1
Mn 0.500 0.500 0.595 x1
O 0.000 0.000 0.176 x1
O 0.241 0.241 0.691 x4
O 0.500 0.500 0.141 x1

Properties
- Energy: -81.5 eV for the cell shown